# KO3 (SCAN, PBEsol geometry)
# **Energy above the most stable polymorph in this dataset**: 0.065 eV per formula unit
# **Calculated density**: 2.0 g/cm³
# **Raw formation energy**: -678 meV/atom
# **Total magnetization**: 2.000 μB per cell
data_KO3
_cell_length_a 4.1433
_cell_length_b 5.6798
_cell_length_c 6.2584
_cell_angle_alpha 90.00
_cell_angle_beta 90.00
_cell_angle_gamma 90.00
_symmetry_space_group_name_H-M 'I m m 2'
_symmetry_Int_Tables_number 44
loop_
_symmetry_equiv_pos_as_xyz
'x,y,z'
'-x,-y,z'
'-x,y,z'
'x,-y,z'
'x+1/2,y+1/2,z+1/2'
'-x+1/2,-y+1/2,z+1/2'
'-x+1/2,y+1/2,z+1/2'
'x+1/2,-y+1/2,z+1/2'
loop_
_atom_site_label
_atom_site_type_symbol
_atom_site_fract_x
_atom_site_fract_y
_atom_site_fract_z
_atom_site_occupancy
K1 K 0.0000 0.0000 0.0000 1
O1 O 0.0000 0.0000 0.4748 1
O2 O 0.0000 0.1997 0.5930 1